Entry from the Alexandria database: crystalline BeB2I at its relaxed geometry (PBE).

a = 4.1886 Å, b = 4.1886 Å, c = 4.1886 Å
α = 60.00°, β = 60.00°, γ = 60.00°
Sites, in units of the cell vectors:
Be 0.0000 0.0000 0.0000
B 0.2500 0.2500 0.2500
B 0.7500 0.7500 0.7500
I 0.5000 0.5000 0.5000

Magnetization in μB per formula unit: 0.00
Final energy in eV per atom: -2.47
Calculated volume in Å³/cell: 52.0
Offset from the most stable computed form in eV/atom: 0.8792